No. 1
DFT (PBE) results for an optimized crystal structure of MgTaZn4.

Summary:
Total magnetic moment: 0.234 μB per atom
Calculated volume: 95.2 Å³/f.u.
Calculated total energy: -17.7 eV/f.u.
Energy relative to the elements: 14 kJ per mole of atoms

Cell and atoms, written as CIF:
```
data_MgTaZn4
_chemical_formula_sum 'Mg4 Ta4 Zn16'
_symmetry_space_group_name_H-M 'F -4 3 m'
_symmetry_Int_Tables_number 216
_symmetry_space_group_name_Hall 'F -4 2 3'
_cell_length_a 7.2485
_cell_length_b 7.2485
_cell_length_c 7.2485
_cell_angle_alpha 90.00
_cell_angle_beta 90.00
_cell_angle_gamma 90.00
loop_
_atom_site_label
_atom_site_fract_x
_atom_site_fract_y
_atom_site_fract_z
Mg1 0.0000 0.0000 0.0000
Ta1 0.2500 0.2500 0.7500
Zn1 0.1238 0.1238 0.3762
```

---

No. 2
DFT (PBE) results for an optimized crystal structure of MgTa2Zn.

Summary:
Total magnetic moment: 0.000 μB per atom
Calculated volume: 70.9 Å³/f.u.
Calculated total energy: -25.7 eV/f.u.
Energy relative to the elements: 22 kJ per mole of atoms

Cell and atoms, written as CIF:
```
data_MgTa2Zn
_chemical_formula_sum 'Mg2 Ta4 Zn2'
_symmetry_space_group_name_H-M 'C 1 2/m 1'
_symmetry_Int_Tables_number 12
_cell_length_a 5.4437
_cell_length_b 9.6518
_cell_length_c 2.8207
_cell_angle_alpha 90.00
_cell_angle_beta 106.87
_cell_angle_gamma 90.00
loop_
_symmetry_equiv_pos_as_xyz
'x,y,z'
'-x,-y,-z'
'-x,y,-z'
'x,-y,z'
'x+1/2,y+1/2,z'
'-x+1/2,-y+1/2,-z'
'-x+1/2,y+1/2,-z'
'x+1/2,-y+1/2,z'
loop_
_atom_site_label
_atom_site_fract_x
_atom_site_fract_y
_atom_site_fract_z
Mg1 0.0000 0.0000 0.0000
Ta1 0.2500 0.2500 0.5000
Zn1 0.0000 0.5000 0.0000
```

---

No. 3
DFT (PBE) results for an optimized crystal structure of MgTaZn2.

Summary:
Total magnetic moment: 0.000 μB per atom
Calculated volume: 67.0 Å³/f.u.
Calculated total energy: -15.7 eV/f.u.
Energy relative to the elements: 7 kJ per mole of atoms

Cell and atoms, written as CIF:
```
data_MgTaZn2
_chemical_formula_sum 'Mg1 Ta1 Zn2'
_symmetry_space_group_name_H-M 'P 1 m 1'
_symmetry_Int_Tables_number 6
_cell_length_a 2.9502
_cell_length_b 4.2687
_cell_length_c 5.5130
_cell_angle_alpha 90.00
_cell_angle_beta 105.31
_cell_angle_gamma 90.00
loop_
_symmetry_equiv_pos_as_xyz
'x,y,z'
'x,-y,z'
loop_
_atom_site_label
_atom_site_fract_x
_atom_site_fract_y
_atom_site_fract_z
Mg1 0.0000 0.0000 0.0000
Ta1 0.6604 0.5000 0.3184
Zn1 0.2574 0.0000 0.5142
Zn2 0.3983 0.5000 0.7979
```

---

No. 4
DFT (PBE) results for an optimized crystal structure of MgTaZn2.

Summary:
Total magnetic moment: 0.000 μB per atom
Calculated volume: 67.1 Å³/f.u.
Calculated total energy: -14.2 eV/f.u.
Energy relative to the elements: 43 kJ per mole of atoms

Cell and atoms, written as CIF:
```
data_MgTaZn2
_chemical_formula_sum 'Mg4 Ta4 Zn8'
_symmetry_space_group_name_H-M 'F -4 3 m'
_symmetry_Int_Tables_number 216
_symmetry_space_group_name_Hall 'F -4 2 3'
_cell_length_a 6.4510
_cell_length_b 6.4510
_cell_length_c 6.4510
_cell_angle_alpha 90.00
_cell_angle_beta 90.00
_cell_angle_gamma 90.00
loop_
_atom_site_label
_atom_site_fract_x
_atom_site_fract_y
_atom_site_fract_z
Mg1 0.0000 0.0000 0.0000
Ta1 0.2500 0.2500 0.2500
Zn1 0.0000 0.0000 0.5000
Zn2 0.2500 0.2500 0.7500
```

---

No. 5
DFT (PBE) results for an optimized crystal structure of MgTa2Zn.

Summary:
Total magnetic moment: 0.000 μB per atom
Calculated volume: 70.7 Å³/f.u.
Calculated total energy: -25.9 eV/f.u.
Energy relative to the elements: 16 kJ per mole of atoms

Cell and atoms, written as CIF:
```
data_MgTa2Zn
_chemical_formula_sum 'Mg2 Ta4 Zn2'
_symmetry_space_group_name_H-M 'I m m m'
_symmetry_Int_Tables_number 71
_symmetry_space_group_name_Hall '-I 2 2'
_cell_length_a 3.3948
_cell_length_b 4.3674
_cell_length_c 9.5437
_cell_angle_alpha 90.00
_cell_angle_beta 90.00
_cell_angle_gamma 90.00
loop_
_atom_site_label
_atom_site_fract_x
_atom_site_fract_y
_atom_site_fract_z
Mg1 0.0000 0.0000 0.0000
Ta1 0.0000 0.5000 0.2346
Zn1 0.0000 0.0000 0.5000
```

---

No. 6
DFT (PBE) results for an optimized crystal structure of MgTaZn.

Summary:
Total magnetic moment: 0.000 μB per atom
Calculated volume: 53.9 Å³/f.u.
Calculated total energy: -14.2 eV/f.u.
Energy relative to the elements: 17 kJ per mole of atoms

Cell and atoms, written as CIF:
```
data_MgTaZn
_chemical_formula_sum 'Mg1 Ta1 Zn1'
_symmetry_space_group_name_H-M 'P 3 m 1'
_symmetry_Int_Tables_number 156
_cell_length_a 2.9220
_cell_length_b 2.9220
_cell_length_c 7.2861
_cell_angle_alpha 90.00
_cell_angle_beta 90.00
_cell_angle_gamma 120.00
loop_
_symmetry_equiv_pos_as_xyz
'x,y,z'
'-y,x-y,z'
'-x+y,-x,z'
'-y,-x,z'
'-x+y,y,z'
'x,x-y,z'
loop_
_atom_site_label
_atom_site_fract_x
_atom_site_fract_y
_atom_site_fract_z
Mg1 0.0000 0.0000 0.0000
Ta1 0.6667 0.3333 0.3525
Zn1 0.3333 0.6667 0.6732
```

---

No. 7
DFT (PBE) results for an optimized crystal structure of MgTa2Zn.

Summary:
Total magnetic moment: 0.000 μB per atom
Calculated volume: 70.1 Å³/f.u.
Calculated total energy: -25.7 eV/f.u.
Energy relative to the elements: 22 kJ per mole of atoms

Cell and atoms, written as CIF:
```
data_MgTa2Zn
_chemical_formula_sum 'Mg2 Ta4 Zn2'
_symmetry_space_group_name_H-M 'C m m m'
_symmetry_Int_Tables_number 65
_symmetry_space_group_name_Hall '-C 2 2'
_cell_length_a 5.5699
_cell_length_b 8.9087
_cell_length_c 2.8269
_cell_angle_alpha 90.00
_cell_angle_beta 90.00
_cell_angle_gamma 90.00
loop_
_atom_site_label
_atom_site_fract_x
_atom_site_fract_y
_atom_site_fract_z
Mg1 0.0000 0.0000 0.0000
Ta1 0.2500 0.2500 0.5000
Zn1 0.0000 0.5000 0.0000
```

---

No. 8
DFT (PBE) results for an optimized crystal structure of MgTaZn.

Summary:
Total magnetic moment: 0.000 μB per atom
Calculated volume: 51.9 Å³/f.u.
Calculated total energy: -13.8 eV/f.u.
Energy relative to the elements: 29 kJ per mole of atoms

Cell and atoms, written as CIF:
```
data_MgTaZn
_chemical_formula_sum 'Mg1 Ta1 Zn1'
_symmetry_space_group_name_H-M 'P 3 m 1'
_symmetry_Int_Tables_number 156
_cell_length_a 4.4822
_cell_length_b 4.4822
_cell_length_c 2.9855
_cell_angle_alpha 90.00
_cell_angle_beta 90.00
_cell_angle_gamma 120.00
loop_
_symmetry_equiv_pos_as_xyz
'x,y,z'
'-y,x-y,z'
'-x+y,-x,z'
'-y,-x,z'
'-x+y,y,z'
'x,x-y,z'
loop_
_atom_site_label
_atom_site_fract_x
_atom_site_fract_y
_atom_site_fract_z
Mg1 0.0000 0.0000 0.0000
Ta1 0.3333 0.6667 0.5010
Zn1 0.6667 0.3333 0.0032
```

---

No. 9
DFT (PBE) results for an optimized crystal structure of MgTaZn2.

Summary:
Total magnetic moment: 0.000 μB per atom
Calculated volume: 69.6 Å³/f.u.
Calculated total energy: -15.3 eV/f.u.
Energy relative to the elements: 17 kJ per mole of atoms

Cell and atoms, written as CIF:
```
data_MgTaZn2
_chemical_formula_sum 'Mg3 Ta3 Zn6'
_symmetry_space_group_name_H-M 'R 3 m'
_symmetry_Int_Tables_number 160
_symmetry_space_group_name_Hall 'R 3 -2"'
_cell_length_a 2.9207
_cell_length_b 2.9207
_cell_length_c 28.2637
_cell_angle_alpha 90.00
_cell_angle_beta 90.00
_cell_angle_gamma 120.00
loop_
_atom_site_label
_atom_site_fract_x
_atom_site_fract_y
_atom_site_fract_z
Mg1 0.0000 0.0000 0.0000
Ta1 0.0000 0.0000 0.7582
Zn1 0.0000 0.0000 0.2495
Zn2 0.0000 0.0000 0.5069
```

---

No. 10
DFT (PBE) results for an optimized crystal structure of MgTa2Zn.

Summary:
Total magnetic moment: 0.000 μB per atom
Calculated volume: 69.3 Å³/f.u.
Calculated total energy: -25.0 eV/f.u.
Energy relative to the elements: 38 kJ per mole of atoms

Cell and atoms, written as CIF:
```
data_MgTa2Zn
_chemical_formula_sum 'Mg1 Ta2 Zn1'
_symmetry_space_group_name_H-M 'P 4/m m m'
_symmetry_Int_Tables_number 123
_symmetry_space_group_name_Hall '-P 4 2'
_cell_length_a 3.4823
_cell_length_b 3.4823
_cell_length_c 5.7168
_cell_angle_alpha 90.00
_cell_angle_beta 90.00
_cell_angle_gamma 90.00
loop_
_atom_site_label
_atom_site_fract_x
_atom_site_fract_y
_atom_site_fract_z
Mg1 0.0000 0.0000 0.0000
Ta1 0.5000 0.5000 0.2628
Zn1 0.0000 0.0000 0.5000
```

---

- Which value of calculated total energy does entry 8 give?
  -13.8 eV/f.u.